SrGaCo2O4: relaxed, PBE with a Hubbard U.

Calculated values
**DOS at the Fermi energy**: 1.1 states/eV per cell
**Magnetic moment**: 5.02 μB per cell
**Symmetry**: I-42m, No. 121
**Final energy**: -5.868 eV per atom

abc: 5.122 5.122 5.121
angles: 114.65 114.65 99.56
Each line ends with the local moment (μB).
Sites, in units of the cell vectors:
Sr: 0.875 0.875 0.000  -0.02
Ga: 0.375 0.375 0.000  0.03
Co: 0.125 0.625 0.500  2.43
Co: 0.625 0.125 0.500  2.43
O: 0.006 0.386 0.000  0.06
O: 0.386 0.006 0.000  0.06
O: 0.364 0.364 0.620  0.06
O: 0.743 0.743 0.380  0.06